Version i
A geometry-optimized AlCrW structure, computed with PBE-GGA.

a = 6.6863 Å, b = 6.4981 Å, c = 2.6952 Å
α = 82.15°, β = 74.31°, γ = 23.54°
Atoms (fractional coordinates):
Al1 0.0000 0.0000 0.0000
Cr1 0.6608 0.6608 0.3392
W1 0.3229 0.3229 0.6771

Computed properties:
Space-group type   No. 42
Fermi-level density of states   2.0 states/eV per cell
M_tot   0.00 μB/atom



Version ii
A geometry-optimized AlCrW structure, computed with PBE-GGA.

a = 4.9222 Å, b = 4.9222 Å, c = 4.9222 Å
α = 143.05°, β = 143.05°, γ = 53.25°
Atoms (fractional coordinates):
Al1 0.0000 0.0000 0.0000
Cr1 0.3276 0.3276 0.0000
W1 0.6858 0.6858 0.0000

Computed properties:
Space-group type   No. 107
Fermi-level density of states   2.9 states/eV per cell
M_tot   0.00 μB/atom



Ordering by calculated energy gives the sequence version ii, version i, with the first entry being the most stable.



Version i
A geometry-optimized YAl3Cr structure, computed with PBE-GGA.

a = 4.6286 Å, b = 4.6286 Å, c = 4.6286 Å
α = 90.00°, β = 90.00°, γ = 90.00°
Atoms (fractional coordinates):
Y1 0.0000 0.0000 0.0000
Al1 0.0000 0.5000 0.5000
Al2 0.5000 0.0000 0.5000
Al3 0.5000 0.5000 0.0000
Cr1 0.5000 0.5000 0.5000

Computed properties:
Space-group type   No. 221
Fermi-level density of states   2.6 states/eV per cell
M_tot   0.00 μB/atom



Version ii
A geometry-optimized YAl3Cr structure, computed with PBE-GGA.

a = 5.3091 Å, b = 5.3091 Å, c = 5.3091 Å
α = 90.00°, β = 90.00°, γ = 90.00°
Atoms (fractional coordinates):
Y1 0.0000 0.0000 0.0000
Al1 0.0000 0.0000 0.5000
Al2 0.0000 0.5000 0.0000
Al3 0.5000 0.0000 0.0000
Cr1 0.5000 0.5000 0.5000

Computed properties:
Space-group type   No. 221
Fermi-level density of states   8.3 states/eV per cell
M_tot   0.25 μB/atom



Ordering by calculated energy gives the sequence version i, version ii, with the first entry being the most stable.



Version i
A geometry-optimized YAl2Cr2 structure, computed with PBE-GGA.

a = 7.6805 Å, b = 7.6805 Å, c = 2.7931 Å
α = 90.00°, β = 90.00°, γ = 90.00°
Atoms (fractional coordinates):
Y1 0.0000 0.0000 0.0000
Y2 0.5000 0.5000 0.0000
Al1 0.1848 0.3152 0.5000
Al2 0.3152 0.8152 0.5000
Al3 0.6848 0.1848 0.5000
Al4 0.8152 0.6848 0.5000
Cr1 0.0991 0.5991 0.0000
Cr2 0.4009 0.0991 0.0000
Cr3 0.5991 0.9009 0.0000
Cr4 0.9009 0.4009 0.0000

Computed properties:
Space-group type   No. 127
Fermi-level density of states   8.9 states/eV per cell
M_tot   0.00 μB/atom



Version ii
A geometry-optimized YAl2Cr2 structure, computed with PBE-GGA.

a = 7.6282 Å, b = 7.6282 Å, c = 3.0091 Å
α = 90.00°, β = 90.00°, γ = 90.00°
Atoms (fractional coordinates):
Y1 0.0000 0.0000 0.0000
Y2 0.5000 0.5000 0.0000
Al1 0.1225 0.3775 0.0000
Al2 0.3775 0.8775 0.0000
Al3 0.6225 0.1225 0.0000
Al4 0.8775 0.6225 0.0000
Cr1 0.1726 0.6726 0.5000
Cr2 0.3274 0.1726 0.5000
Cr3 0.6726 0.8274 0.5000
Cr4 0.8274 0.3274 0.5000

Computed properties:
Space-group type   No. 127
Fermi-level density of states   8.6 states/eV per cell
M_tot   1.02 μB/atom



Ordering by calculated energy gives the sequence version i, version ii, with the first entry being the most stable.



Version i
A geometry-optimized YAlCr3 structure, computed with PBE-GGA.

a = 4.8889 Å, b = 4.8889 Å, c = 4.8889 Å
α = 90.00°, β = 90.00°, γ = 90.00°
Atoms (fractional coordinates):
Y1 0.0000 0.0000 0.0000
Al1 0.5000 0.5000 0.5000
Cr1 0.0000 0.0000 0.5000
Cr2 0.0000 0.5000 0.0000
Cr3 0.5000 0.0000 0.0000

Computed properties:
Space-group type   No. 221
Fermi-level density of states   4.3 states/eV per cell
M_tot   2.05 μB/atom



Version ii
A geometry-optimized YAlCr3 structure, computed with PBE-GGA.

a = 4.6739 Å, b = 4.6739 Å, c = 4.6739 Å
α = 90.00°, β = 90.00°, γ = 90.00°
Atoms (fractional coordinates):
Y1 0.0000 0.0000 0.0000
Al1 0.5000 0.5000 0.5000
Cr1 0.0000 0.5000 0.5000
Cr2 0.5000 0.0000 0.5000
Cr3 0.5000 0.5000 0.0000

Computed properties:
Space-group type   No. 221
Fermi-level density of states   7.6 states/eV per cell
M_tot   1.94 μB/atom



Ordering by calculated energy gives the sequence version ii, version i, with the first entry being the most stable.



Version i
A geometry-optimized Al6ZnCr2 structure, computed with PBE-GGA.

a = 6.2916 Å, b = 6.2916 Å, c = 6.1998 Å
α = 108.99°, β = 108.99°, γ = 35.25°
Atoms (fractional coordinates):
Al1 0.1010 0.1010 0.1568
Al2 0.2195 0.2195 0.8469
Al3 0.3370 0.3370 0.4987
Al4 0.6630 0.6630 0.5013
Al5 0.7805 0.7805 0.1531
Al6 0.8990 0.8990 0.8432
Zn1 0.0000 0.0000 0.5000
Cr1 0.4426 0.4426 0.1736
Cr2 0.5574 0.5574 0.8264

Computed properties:
Space-group type   No. 12
Fermi-level density of states   3.6 states/eV per cell
M_tot   0.38 μB/atom



Version ii
A geometry-optimized Al6ZnCr2 structure, computed with PBE-GGA.

a = 4.8810 Å, b = 4.8810 Å, c = 7.0979 Å
α = 98.43°, β = 98.43°, γ = 124.45°
Atoms (fractional coordinates):
Al1 0.1550 0.8450 0.0000
Al2 0.1893 0.5163 0.6646
Al3 0.4837 0.8107 0.3354
Al4 0.5163 0.1893 0.6646
Al5 0.8107 0.4837 0.3354
Al6 0.8450 0.1550 0.0000
Zn1 0.5000 0.5000 0.0000
Cr1 0.1530 0.1530 0.3411
Cr2 0.8470 0.8470 0.6589

Computed properties:
Space-group type   No. 12
Fermi-level density of states   4.3 states/eV per cell
M_tot   0.43 μB/atom



Ordering by calculated energy gives the sequence version i, version ii, with the first entry being the most stable.



Version i
A geometry-optimized AlZn2Cr2 structure, computed with PBE-GGA.

a = 6.4392 Å, b = 6.4392 Å, c = 3.4845 Å
α = 90.00°, β = 90.00°, γ = 90.00°
Atoms (fractional coordinates):
Al1 0.0000 0.0000 0.0000
Al2 0.5000 0.5000 0.0000
Zn1 0.1837 0.3163 0.5000
Zn2 0.3163 0.8163 0.5000
Zn3 0.6837 0.1837 0.5000
Zn4 0.8163 0.6837 0.5000
Cr1 0.1112 0.6112 0.0000
Cr2 0.3888 0.1112 0.0000
Cr3 0.6112 0.8888 0.0000
Cr4 0.8888 0.3888 0.0000

Computed properties:
Space-group type   No. 127
Fermi-level density of states   6.1 states/eV per cell
M_tot   0.00 μB/atom



Version ii
A geometry-optimized AlZn2Cr2 structure, computed with PBE-GGA.

a = 6.5079 Å, b = 6.5079 Å, c = 6.5079 Å
α = 148.70°, β = 148.70°, γ = 44.85°
Atoms (fractional coordinates):
Al1 0.0000 0.0000 0.0000
Zn1 0.2500 0.7500 0.5000
Zn2 0.7500 0.2500 0.5000
Cr1 0.4172 0.4172 0.0000
Cr2 0.5828 0.5828 0.0000

Computed properties:
Space-group type   No. 139
Fermi-level density of states   2.8 states/eV per cell
M_tot   0.12 μB/atom



Ordering by calculated energy gives the sequence version i, version ii, with the first entry being the most stable.



Version i
A geometry-optimized ZrAl2Cr2 structure, computed with PBE-GGA.

a = 7.4582 Å, b = 7.4582 Å, c = 2.7786 Å
α = 90.00°, β = 90.00°, γ = 90.00°
Atoms (fractional coordinates):
Zr1 0.0000 0.0000 0.0000
Zr2 0.5000 0.5000 0.0000
Al1 0.1872 0.3128 0.5000
Al2 0.3128 0.8128 0.5000
Al3 0.6872 0.1872 0.5000
Al4 0.8128 0.6872 0.5000
Cr1 0.1020 0.6020 0.0000
Cr2 0.3980 0.1020 0.0000
Cr3 0.6020 0.8980 0.0000
Cr4 0.8980 0.3980 0.0000

Computed properties:
Space-group type   No. 127
Fermi-level density of states   13.2 states/eV per cell
M_tot   0.00 μB/atom



Version ii
A geometry-optimized ZrAl2Cr2 structure, computed with PBE-GGA.

a = 6.5044 Å, b = 6.5044 Å, c = 6.5044 Å
α = 147.61°, β = 147.61°, γ = 46.46°
Atoms (fractional coordinates):
Zr1 0.0000 0.0000 0.0000
Al1 0.3954 0.3954 0.0000
Al2 0.6046 0.6046 0.0000
Cr1 0.2500 0.7500 0.5000
Cr2 0.7500 0.2500 0.5000

Computed properties:
Space-group type   No. 139
Fermi-level density of states   3.8 states/eV per cell
M_tot   0.00 μB/atom



Ordering by calculated energy gives the sequence version i, version ii, with the first entry being the most stable.



Version i
A geometry-optimized ZrAl3Cr structure, computed with PBE-GGA.

a = 4.5178 Å, b = 4.5178 Å, c = 4.5178 Å
α = 90.00°, β = 90.00°, γ = 90.00°
Atoms (fractional coordinates):
Zr1 0.0000 0.0000 0.0000
Al1 0.0000 0.5000 0.5000
Al2 0.5000 0.0000 0.5000
Al3 0.5000 0.5000 0.0000
Cr1 0.5000 0.5000 0.5000

Computed properties:
Space-group type   No. 221
Fermi-level density of states   2.5 states/eV per cell
M_tot   0.00 μB/atom



Version ii
A geometry-optimized ZrAl3Cr structure, computed with PBE-GGA.

a = 5.1548 Å, b = 5.1548 Å, c = 5.1548 Å
α = 90.00°, β = 90.00°, γ = 90.00°
Atoms (fractional coordinates):
Zr1 0.0000 0.0000 0.0000
Al1 0.0000 0.0000 0.5000
Al2 0.0000 0.5000 0.0000
Al3 0.5000 0.0000 0.0000
Cr1 0.5000 0.5000 0.5000

Computed properties:
Space-group type   No. 221
Fermi-level density of states   3.6 states/eV per cell
M_tot   0.76 μB/atom



Ordering by calculated energy gives the sequence version i, version ii, with the first entry being the most stable.



Version i
A geometry-optimized Cs2AlCu structure, computed with PBE-GGA.

a = 6.3429 Å, b = 6.3429 Å, c = 6.3429 Å
α = 60.00°, β = 60.00°, γ = 60.00°
Atoms (fractional coordinates):
Cs1 0.2500 0.2500 0.2500
Cs2 0.7500 0.7500 0.7500
Al1 0.0000 0.0000 0.0000
Cu1 0.5000 0.5000 0.5000

Computed properties:
Space-group type   No. 225
Fermi-level density of states   3.6 states/eV per cell
M_tot   0.40 μB/atom



Version ii
A geometry-optimized Cs2AlCu structure, computed with PBE-GGA.

a = 10.0577 Å, b = 10.0577 Å, c = 10.0577 Å
α = 93.18°, β = 93.18°, γ = 152.73°
Atoms (fractional coordinates):
Cs1 0.3750 0.1875 0.3125
Cs2 0.8125 0.1250 0.1875
Cs3 0.8750 0.0625 0.6875
Cs4 0.9375 0.6250 0.8125
Al1 0.2500 0.7500 0.5000
Al2 0.5000 0.5000 0.0000
Cu1 0.0000 0.0000 0.0000
Cu2 0.7500 0.2500 0.5000

Computed properties:
Space-group type   No. 122
Fermi-level density of states   7.7 states/eV per cell
M_tot   0.00 μB/atom



Ordering by calculated energy gives the sequence version ii, version i, with the first entry being the most stable.



Version i
A geometry-optimized CsAl2Cu structure, computed with PBE-GGA.

a = 7.9009 Å, b = 7.9009 Å, c = 7.9009 Å
α = 131.27°, β = 131.27°, γ = 71.38°
Atoms (fractional coordinates):
Cs1 0.3750 0.6250 0.7500
Cs2 0.6250 0.3750 0.2500
Al1 0.0000 0.0000 0.0000
Al2 0.0000 0.0000 0.5000
Al3 0.0000 0.5000 0.0000
Al4 0.5000 0.0000 0.5000
Cu1 0.1250 0.8750 0.2500
Cu2 0.8750 0.1250 0.7500

Computed properties:
Space-group type   No. 141
Fermi-level density of states   1.0 states/eV per cell
M_tot   0.00 μB/atom



Version ii
A geometry-optimized CsAl2Cu structure, computed with PBE-GGA.

a = 5.1820 Å, b = 5.1820 Å, c = 5.1820 Å
α = 60.00°, β = 60.00°, γ = 60.00°
Atoms (fractional coordinates):
Cs1 0.0000 0.0000 0.0000
Al1 0.2500 0.2500 0.2500
Al2 0.7500 0.7500 0.7500
Cu1 0.5000 0.5000 0.5000

Computed properties:
Space-group type   No. 225
Fermi-level density of states   1.7 states/eV per cell
M_tot   0.00 μB/atom



Ordering by calculated energy gives the sequence version i, version ii, with the first entry being the most stable.



Version i
A geometry-optimized CsAlCuF6 structure, computed with PBE-GGA.

a = 7.1816 Å, b = 7.2028 Å, c = 10.3110 Å
α = 90.00°, β = 90.00°, γ = 90.00°
Atoms (fractional coordinates):
Cs1 0.0100 0.2500 0.1280
Cs2 0.4900 0.7500 0.6280
Cs3 0.5100 0.2500 0.3720
Cs4 0.9900 0.7500 0.8720
Al1 0.0000 0.0000 0.5000
Al2 0.0000 0.5000 0.5000
Al3 0.5000 0.0000 0.0000
Al4 0.5000 0.5000 0.0000
Cu1 0.2284 0.2500 0.7571
Cu2 0.2716 0.7500 0.2571
Cu3 0.7284 0.2500 0.7429
Cu4 0.7716 0.7500 0.2429
F1 0.0263 0.7500 0.1751
F2 0.0273 0.2500 0.4586
F3 0.1551 0.0255 0.6381
F4 0.1551 0.4745 0.6381
F5 0.2008 0.5498 0.3985
F6 0.2008 0.9502 0.3985
F7 0.2992 0.0498 0.8985
F8 0.2992 0.4502 0.8985
F9 0.3449 0.5255 0.1381
F10 0.3449 0.9745 0.1381
F11 0.4727 0.7500 0.9586
F12 0.4737 0.2500 0.6751
F13 0.5263 0.7500 0.3249
F14 0.5273 0.2500 0.0414
F15 0.6551 0.0255 0.8619
F16 0.6551 0.4745 0.8619
F17 0.7008 0.5498 0.1015
F18 0.7008 0.9502 0.1015
F19 0.7992 0.0498 0.6015
F20 0.7992 0.4502 0.6015
F21 0.8449 0.5255 0.3619
F22 0.8449 0.9745 0.3619
F23 0.9727 0.7500 0.5414
F24 0.9737 0.2500 0.8249

Computed properties:
Space-group type   No. 62
Fermi-level density of states   19.4 states/eV per cell
M_tot   0.11 μB/atom



Version ii
A geometry-optimized CsAlCuF6 structure, computed with PBE-GGA.

a = 5.2600 Å, b = 5.2600 Å, c = 6.5018 Å
α = 90.00°, β = 90.00°, γ = 120.00°
Atoms (fractional coordinates):
Cs1 0.0000 0.0000 0.0000
Al1 0.6667 0.3333 0.5000
Cu1 0.3333 0.6667 0.5000
F1 0.3989 0.0308 0.6624
F2 0.3989 0.3681 0.3376
F3 0.6319 0.0308 0.3376
F4 0.6319 0.6011 0.6624
F5 0.9692 0.3681 0.6624
F6 0.9692 0.6011 0.3376

Computed properties:
Space-group type   No. 149
Fermi-level density of states   6.2 states/eV per cell
M_tot   0.11 μB/atom



Ordering by calculated energy gives the sequence version i, version ii, with the first entry being the most stable.



Version i
A geometry-optimized Cs2AlCuI6 structure, computed with PBE-GGA.

a = 8.2904 Å, b = 8.2904 Å, c = 8.2904 Å
α = 121.90°, β = 121.90°, γ = 86.75°
Atoms (fractional coordinates):
Cs1 0.2500 0.7500 0.5000
Cs2 0.7500 0.2500 0.5000
Al1 0.0000 0.0000 0.0000
Cu1 0.5000 0.5000 0.0000
I1 0.2255 0.2255 0.0000
I2 0.2549 0.2549 0.5097
I3 0.2549 0.7451 0.0000
I4 0.7451 0.2549 0.0000
I5 0.7451 0.7451 0.4903
I6 0.7745 0.7745 0.0000

Computed properties:
Space-group type   No. 139
Fermi-level density of states   0.2 states/eV per cell
M_tot   0.00 μB/atom



Version ii
A geometry-optimized Cs2AlCuI6 structure, computed with PBE-GGA.

a = 8.2844 Å, b = 8.2844 Å, c = 7.0023 Å
α = 90.00°, β = 90.00°, γ = 120.00°
Atoms (fractional coordinates):
Cs1 0.3333 0.6667 0.2259
Cs2 0.6667 0.3333 0.7741
Al1 0.0000 0.0000 0.0000
Cu1 0.0000 0.0000 0.5000
I1 0.1561 0.3121 0.7626
I2 0.1561 0.8439 0.7626
I3 0.3121 0.1561 0.2374
I4 0.6879 0.8439 0.7626
I5 0.8439 0.1561 0.2374
I6 0.8439 0.6879 0.2374

Computed properties:
Space-group type   No. 164
M_tot   0.00 μB/atom



Ordering by calculated energy gives the sequence version ii, version i, with the first entry being the most stable.